PF3: optimized geometry, GGA-PBE.

It has space group R-3m (No. 166, hexagonal axes), with a = 2.6098 Å, b = 2.6098 Å, c = 25.2095 Å, α = 90.00°, β = 90.00° and γ = 120.00°. The inequivalent atoms are P at (0.0000, 0.0000, 0.0000), F at (0.0000, 0.0000, 0.0637) and F at (0.0000, 0.0000, 0.5000).

The calculation puts the size of the total moment at 0.867 μB/f.u. For the density of states at the Fermi level, the calculation gives 1.15 states/eV/f.u. The formation energy (no corrections) comes out at -949.5 meV per atom.